{
  "formula": "Ba2Li3CrF12",
  "functional": "PBE with a Hubbard U",
  "state": "relaxed",
  "lattice": [[-4.800, 4.923, 1.216], [-6.595, -2.250, 0.437], [-2.776, -0.001, 6.406]],
  "species": ["F", "F", "F", "F", "F", "F", "F", "F", "F", "F", "F", "F", "Li", "Li", "Li", "Ba", "Ba", "Cr"],
  "frac_coords": [[0.059, 0.625, 0.625], [0.056, 0.056, 0.705], [0.375, 0.941, 0.375], [0.944, 0.944, 0.295], [0.295, 0.944, 0.944], [0.625, 0.625, 0.059], [0.056, 0.705, 0.056], [0.941, 0.375, 0.375], [0.705, 0.056, 0.056], [0.625, 0.059, 0.625], [0.375, 0.375, 0.941], [0.944, 0.295, 0.944], [0.500, 0.000, 0.000], [0.000, 0.000, 0.500], [0.000, 0.500, 0.000], [0.647, 0.647, 0.647], [0.353, 0.353, 0.353], [0.000, 0.000, 0.000]],
  "volume_a3_per_atom": 14.65,
  "energy_ry_per_atom": -0.369,
  "sg": "R-3m, No. 166"
}